No. 1
MnAg3O: optimized geometry, PBE+U.

The distance to the lowest polymorph of the same formula is 1021 meV per atom. The calculation puts the total magnetization at 0.986 μB per atom. Its theoretical density is 5.3 Mg/m³.

It has space group Pm-3m (No. 221), with a = 4.982 Å, b = 4.982 Å, c = 4.982 Å, α = 90.00°, β = 90.00° and γ = 90.00°. The asymmetric unit holds Mn at (0.000, 0.000, 0.000), Ag at (0.000, 0.000, 0.500) and O at (0.500, 0.500, 0.500).


No. 2
FeAs2O6: optimized geometry, PBE+U.

The value obtained for the raw total energy is -6.122 eV/atom. The calculation puts the total magnetization at 0.445 μB per atom. Its theoretical density is 3.8 Mg/m³.

It has space group C2/m (No. 12), with a = 10.242 Å, b = 3.002 Å, c = 8.498 Å, α = 90.00°, β = 94.52° and γ = 90.00°. The asymmetric unit holds Fe at (0.000, 0.000, 0.000), As at (0.217, 0.500, 0.753), O at (0.120, 0.500, 0.906), O at (0.121, 0.000, 0.209) and O at (0.172, 0.000, 0.637).